Material: HoTlVCl6
Method: DFT, PBE
State: optimized geometry

Cell lengths 6.6365, 6.6365, 14.4819 Å; angles 90.00, 90.00, 120.00 degrees
Last column: nearest neighbours and their distance in Å.
Space group P-31c (No. 163)
Symmetry-distinct sites (fractional):
Ho1 0.3333 0.6667 0.2500 x2  6 Cl 2.64
Tl1 0.0000 0.0000 0.0000 x2  6 Cl 3.25
V1 0.3333 0.6667 0.7500 x2  6 Cl 2.50
Cl1 0.0168 0.3756 0.6487 x12  1 V 2.50, 1 Ho 2.64

Properties
Formation energy without anion corrections = -1.6388 eV per atom
Final energy = -4.655 eV/atom
Spin magnetization = 3.00 μB per formula unit



Material: ScMn2VPb
Method: DFT, PBE
State: optimized geometry

Cell lengths 4.7440, 4.7440, 4.6543 Å; angles 90.00, 90.00, 90.00 degrees
Last column: nearest neighbours and their distance in Å.
Space group P4/mmm (No. 123)
Symmetry-distinct sites (fractional):
Sc1 0.0000 0.0000 0.0000 x1  2 V 2.33, 4 Mn 2.37
Mn1 0.0000 0.5000 0.0000 x2  2 Sc 2.37
V1 0.0000 0.0000 0.5000 x1  2 Sc 2.33
Pb1 0.5000 0.5000 0.5000 x1  8 Mn 3.32, 4 V 3.35

Properties
Final energy = -6.158 eV/atom
Spin magnetization = 7.32 μB per formula unit
ΔE_f = 6.7 eV/f.u.